(1)
The following is a DFT calculation (PBE-GGA) of a geometry-optimized AlSbPbO6 structure.

Unit cell a=5.1494 b=5.1494 c=9.2796 alpha=90.00 beta=90.00 gamma=120.00
Space group P-31c (No. 163)
Asymmetric unit:
Al 0.3333 0.6667 0.2500 [2 per cell]
Sb 0.3333 0.6667 0.7500 [2 per cell]
Pb 0.0000 0.0000 0.0000 [2 per cell]
O 0.0122 0.3660 0.1360 [12 per cell]

---

(2)
The following is a DFT calculation (PBE-GGA) of a geometry-optimized AlSb3Pb4O13 structure.

Unit cell a=7.5057 b=7.5057 c=18.0339 alpha=90.00 beta=90.00 gamma=120.00
Space group R3m (No. 160, hexagonal axes)
Asymmetric unit:
Al 0.0000 0.0000 0.0000 [3 per cell]
Sb 0.1671 0.3342 0.8323 [9 per cell]
Pb 0.0000 0.0000 0.5014 [3 per cell]
Pb 0.1696 0.3393 0.3317 [9 per cell]
O 0.0000 0.0000 0.3742 [3 per cell]
O 0.0710 0.5355 0.8568 [9 per cell]
O 0.0762 0.5381 0.6059 [9 per cell]
O 0.2005 0.4009 0.4738 [9 per cell]
O 0.2065 0.4129 0.7261 [9 per cell]

---

(3)
The following is a DFT calculation (PBE-GGA) of a geometry-optimized AlSbPb2O6 structure.

Unit cell a=7.915 b=7.915 c=7.915 alpha=90.00 beta=90.00 gamma=90.00
Space group Fm-3m (No. 225)
Asymmetric unit:
Al 0.000 0.000 0.000 [4 per cell]
Sb 0.000 0.000 0.500 [4 per cell]
Pb 0.250 0.250 0.250 [8 per cell]
O 0.000 0.000 0.246 [24 per cell]

---

(4)
The following is a DFT calculation (PBE-GGA) of a geometry-optimized Sc2AlPbO structure.

Unit cell a=4.292 b=4.292 c=5.286 alpha=90.00 beta=90.00 gamma=90.00
Space group P4/mmm (No. 123)
Asymmetric unit:
Sc 0.000 0.500 0.000 [2 per cell]
Al 0.000 0.000 0.500 [1 per cell]
Pb 0.500 0.500 0.500 [1 per cell]
O 0.500 0.500 0.000 [1 per cell]

---

(5)
The following is a DFT calculation (PBE-GGA) of a geometry-optimized AlPbSe2O8 structure.

Unit cell a=8.264 b=5.692 c=7.466 alpha=90.00 beta=92.06 gamma=90.00
Space group C2/m (No. 12)
Asymmetric unit:
Al 0.000 0.000 0.000 [2 per cell]
Pb 0.000 0.000 0.500 [2 per cell]
Se 0.127 0.500 0.798 [4 per cell]
O 0.022 0.224 0.808 [8 per cell]
O 0.198 0.500 0.590 [4 per cell]
O 0.229 0.000 0.036 [4 per cell]

---

(6)
The following is a DFT calculation (PBE-GGA) of a geometry-optimized AlSi2PbO6 structure.

Unit cell a=10.256 b=11.177 c=5.371 alpha=90.00 beta=111.34 gamma=90.00
Space group C2/c (No. 15)
Asymmetric unit:
Al 0.000 0.246 0.250 [4 per cell]
Si 0.212 0.085 0.667 [8 per cell]
Pb 0.000 0.430 0.750 [4 per cell]
O 0.069 0.159 0.540 [8 per cell]
O 0.145 0.334 0.251 [8 per cell]
O 0.225 0.020 0.955 [8 per cell]

---

no.,formation energy from raw total energies (eV per atom),volume (A^3/atom)
1,-1.65,11.84
2,-1.55,13.97
3,-1.65,12.40
4,-0.99,19.48
5,-1.11,14.62
6,-2.40,14.34